(1)
A relaxed KNaTlPb crystal, computed with PBE.

```
KNaTlPb
1.0
8.004 0.000 0.000
0.000 8.004 0.000
0.000 0.000 8.004
K Na Tl Pb
4 4 4 4
direct
0.000 0.000 0.000
0.000 0.500 0.500
0.500 0.000 0.500
0.500 0.500 0.000
0.250 0.250 0.250
0.250 0.750 0.750
0.750 0.250 0.750
0.750 0.750 0.250
0.250 0.250 0.750
0.250 0.750 0.250
0.750 0.250 0.250
0.750 0.750 0.750
0.000 0.000 0.500
0.000 0.500 0.000
0.500 0.000 0.000
0.500 0.500 0.500
```

Properties
The uncorrected energy comes out at -2.23 eV/atom. For the density of states at the Fermi level, the calculation gives 14.000 states/eV/cell.


(2)
A relaxed KNa2Tl6Pb2 crystal, computed with PBE.

```
KNa2Tl6Pb2
1.0
6.610 0.000 0.000
3.194 5.857 0.000
2.576 1.455 9.096
K Na Tl Pb
1 2 6 2
direct
0.000 0.000 0.000
0.138 0.099 0.596
0.862 0.901 0.404
0.094 0.581 0.704
0.389 0.422 0.347
0.409 0.924 0.278
0.591 0.076 0.722
0.611 0.578 0.653
0.906 0.419 0.296
0.338 0.363 0.003
0.662 0.637 0.997
```

Properties
The uncorrected energy comes out at -2.37 eV/atom. For the density of states at the Fermi level, the calculation gives 4.911 states/eV/cell.


(3)
A relaxed K2Na2Tl5Pb2 crystal, computed with PBE.

```
K2Na2Tl5Pb2
1.0
-2.302 2.302 20.120
2.302 -2.302 20.120
2.302 2.302 -20.120
K Na Tl Pb
2 2 5 2
direct
0.206 0.206 0.000
0.794 0.794 0.000
0.124 0.124 0.000
0.876 0.876 0.000
0.000 0.000 0.000
0.066 0.566 0.500
0.434 0.934 0.500
0.566 0.066 0.500
0.934 0.434 0.500
0.366 0.366 0.000
0.634 0.634 0.000
```

Properties
The uncorrected energy comes out at -2.18 eV/atom. For the density of states at the Fermi level, the calculation gives 4.405 states/eV/cell.


(4)
A relaxed KNaTl3Pb crystal, computed with PBE.

```
KNaTl3Pb
1.0
3.577 -8.100 0.000
3.577 8.100 0.000
0.000 0.000 7.035
K Na Tl Pb
2 2 6 2
direct
0.181 0.819 0.750
0.819 0.181 0.250
0.388 0.612 0.750
0.612 0.388 0.250
0.230 0.230 0.000
0.230 0.230 0.500
0.366 0.634 0.250
0.634 0.366 0.750
0.770 0.770 0.000
0.770 0.770 0.500
0.142 0.858 0.250
0.858 0.142 0.750
```

Properties
The uncorrected energy comes out at -2.26 eV/atom. For the density of states at the Fermi level, the calculation gives 4.764 states/eV/cell.


(5)
A relaxed K2Na4ZnPb2 crystal, computed with PBE.

```
K2Na4ZnPb2
1.0
6.793 -3.936 0.000
6.793 3.936 0.000
-0.994 0.000 5.853
K Na Zn Pb
2 4 1 2
direct
0.135 0.135 0.209
0.865 0.865 0.791
0.163 0.583 0.299
0.417 0.837 0.701
0.583 0.163 0.299
0.837 0.417 0.701
0.500 0.500 0.000
0.315 0.315 0.759
0.685 0.685 0.241
```

Properties
The uncorrected energy comes out at -1.87 eV/atom. For the density of states at the Fermi level, the calculation gives 3.267 states/eV/cell.


(6)
A relaxed KNa2ZnPb crystal, computed with PBE.

```
KNa2ZnPb
1.0
5.582 0.000 0.000
0.000 5.582 0.000
0.000 0.000 6.109
K Na Zn Pb
1 2 1 1
direct
0.000 0.000 0.000
0.000 0.500 0.500
0.500 0.000 0.500
0.000 0.000 0.500
0.500 0.500 0.000
```

Properties
The uncorrected energy comes out at -1.49 eV/atom. The relative energy among the computed polymorphs is 0.227 eV/atom. For the density of states at the Fermi level, the calculation gives 4.479 states/eV/cell.


(7)
A relaxed KNa2ZnPb crystal, computed with PBE.

```
KNa2ZnPb
1.0
5.818 0.000 0.000
0.000 5.818 0.000
0.000 0.000 5.321
K Na Zn Pb
1 2 1 1
direct
0.000 0.000 0.000
0.000 0.500 0.500
0.500 0.000 0.500
0.500 0.500 0.500
0.500 0.500 0.000
```

Properties
The uncorrected energy comes out at -1.72 eV/atom. The relative energy among the computed polymorphs is 0.000 eV/atom. For the density of states at the Fermi level, the calculation gives 1.907 states/eV/cell.


(8)
A relaxed KNa2ZnPb crystal, computed with PBE.

```
KNa2ZnPb
1.0
6.109 0.000 0.000
0.000 6.109 0.000
0.000 0.000 5.383
K Na Zn Pb
1 2 1 1
direct
0.000 0.000 0.000
0.000 0.500 0.500
0.500 0.000 0.500
0.500 0.500 0.000
0.500 0.500 0.500
```

Properties
The uncorrected energy comes out at -1.70 eV/atom. The relative energy among the computed polymorphs is 0.022 eV/atom. For the density of states at the Fermi level, the calculation gives 1.628 states/eV/cell.


(9)
A relaxed KNaZnPb crystal, computed with PBE.

```
KNaZnPb
1.0
7.633 0.000 0.000
0.000 7.633 0.000
0.000 0.000 7.633
K Na Zn Pb
4 4 4 4
direct
0.000 0.000 0.000
0.000 0.500 0.500
0.500 0.000 0.500
0.500 0.500 0.000
0.250 0.250 0.750
0.250 0.750 0.250
0.750 0.250 0.250
0.750 0.750 0.750
0.250 0.250 0.250
0.250 0.750 0.750
0.750 0.250 0.750
0.750 0.750 0.250
0.000 0.000 0.500
0.000 0.500 0.000
0.500 0.000 0.000
0.500 0.500 0.500
```

Properties
The uncorrected energy comes out at -1.87 eV/atom. For the density of states at the Fermi level, the calculation gives 4.405 states/eV/cell.


(10)
A relaxed KNa2ZrPb crystal, computed with PBE.

```
KNa2ZrPb
1.0
6.004 0.000 0.000
0.000 6.004 0.000
0.000 0.000 5.789
K Na Zr Pb
1 2 1 1
direct
0.000 0.000 0.000
0.000 0.500 0.500
0.500 0.000 0.500
0.500 0.500 0.000
0.500 0.500 0.500
```

Properties
The uncorrected energy comes out at -2.77 eV/atom. For the density of states at the Fermi level, the calculation gives 3.981 states/eV/cell.


(11)
A relaxed K2NaZrPb crystal, computed with PBE.

```
K2NaZrPb
1.0
6.467 0.000 0.000
0.000 6.467 0.000
0.000 0.000 5.780
K Na Zr Pb
2 1 1 1
direct
0.000 0.500 0.000
0.500 0.000 0.000
0.000 0.000 0.500
0.500 0.500 0.500
0.000 0.000 0.000
```

Properties
The uncorrected energy comes out at -2.13 eV/atom. For the density of states at the Fermi level, the calculation gives 7.192 states/eV/cell.


(12)
A relaxed K3NaPd8 crystal, computed with PBE.

```
K3NaPd8
1.0
2.772 1.600 9.086
-2.772 1.600 9.086
0.000 -3.200 9.086
K Na Pd
3 1 8
direct
0.000 0.000 0.000
0.126 0.126 0.126
0.625 0.625 0.625
0.500 0.500 0.500
0.062 0.062 0.560
0.062 0.560 0.062
0.066 0.564 0.564
0.313 0.313 0.313
0.560 0.062 0.062
0.564 0.066 0.564
0.564 0.564 0.066
0.813 0.813 0.813
```

Properties
The uncorrected energy comes out at -3.90 eV/atom. For the density of states at the Fermi level, the calculation gives 9.476 states/eV/cell.


(13)
A relaxed KNa8Pd4 crystal, computed with PBE.

```
KNa8Pd4
1.0
-5.220 5.220 2.902
5.220 -5.220 2.902
5.220 5.220 -2.902
K Na Pd
1 8 4
direct
0.000 0.000 0.000
0.000 0.330 0.330
0.000 0.670 0.670
0.275 0.500 0.775
0.330 0.000 0.330
0.500 0.275 0.775
0.500 0.725 0.225
0.670 0.000 0.670
0.725 0.500 0.225
0.000 0.000 0.500
0.000 0.500 0.000
0.500 0.000 0.000
0.500 0.500 0.500
```

Properties
The uncorrected energy comes out at -2.56 eV/atom. For the density of states at the Fermi level, the calculation gives 4.025 states/eV/cell.


(14)
A relaxed KNa6Pd6 crystal, computed with PBE.

```
KNa6Pd6
1.0
-2.798 4.895 5.007
2.798 -4.895 5.007
2.798 4.895 -5.007
K Na Pd
1 6 6
direct
0.000 0.000 0.000
0.181 0.500 0.681
0.328 0.328 0.000
0.345 0.000 0.345
0.655 0.000 0.655
0.672 0.672 0.000
0.819 0.500 0.319
0.000 0.000 0.500
0.000 0.500 0.000
0.241 0.741 0.500
0.500 0.000 0.000
0.500 0.500 0.500
0.759 0.259 0.500
```

Properties
The uncorrected energy comes out at -3.22 eV/atom. For the density of states at the Fermi level, the calculation gives 4.576 states/eV/cell.


(15)
A relaxed KNa2Pd6 crystal, computed with PBE.

```
KNa2Pd6
1.0
0.000 4.653 4.653
4.653 0.000 4.653
4.653 4.653 0.000
K Na Pd
1 2 6
direct
0.000 0.000 0.000
0.250 0.250 0.250
0.750 0.750 0.750
0.295 0.295 0.705
0.295 0.705 0.295
0.295 0.705 0.705
0.705 0.295 0.295
0.705 0.295 0.705
0.705 0.705 0.295
```

Properties
The uncorrected energy comes out at -3.45 eV/atom. For the density of states at the Fermi level, the calculation gives 11.705 states/eV/cell.


(16)
A relaxed K2Na2Pd crystal, computed with PBE.

```
K2Na2Pd
1.0
7.790 0.000 0.000
0.000 7.790 0.000
0.000 0.000 6.046
K Na Pd
4 4 2
direct
0.193 0.307 0.000
0.307 0.807 0.000
0.693 0.193 0.000
0.807 0.693 0.000
0.157 0.657 0.500
0.343 0.157 0.500
0.657 0.843 0.500
0.843 0.343 0.500
0.000 0.000 0.500
0.500 0.500 0.500
```

Properties
The uncorrected energy comes out at -1.91 eV/atom. For the density of states at the Fermi level, the calculation gives 3.530 states/eV/cell.


(17)
A relaxed KNa2Pd crystal, computed with PBE.

```
KNa2Pd
1.0
3.705 0.000 0.000
0.000 3.705 0.000
0.000 0.000 9.320
K Na Pd
1 2 1
direct
0.000 0.000 0.000
0.500 0.500 0.340
0.500 0.500 0.660
0.000 0.000 0.500
```

Properties
The uncorrected energy comes out at -2.16 eV/atom. The relative energy among the computed polymorphs is 0.037 eV/atom. For the density of states at the Fermi level, the calculation gives 1.234 states/eV/cell.


(18)
A relaxed KNa2Pd crystal, computed with PBE.

```
KNa2Pd
1.0
7.606 0.000 0.000
0.000 7.606 0.000
0.000 0.000 7.606
K Na Pd
4 8 4
direct
0.000 0.000 0.000
0.000 0.500 0.500
0.500 0.000 0.500
0.500 0.500 0.000
0.250 0.250 0.250
0.250 0.250 0.750
0.250 0.750 0.250
0.250 0.750 0.750
0.750 0.250 0.250
0.750 0.250 0.750
0.750 0.750 0.250
0.750 0.750 0.750
0.000 0.000 0.500
0.000 0.500 0.000
0.500 0.000 0.000
0.500 0.500 0.500
```

Properties
The uncorrected energy comes out at -2.17 eV/atom. The relative energy among the computed polymorphs is 0.031 eV/atom. For the density of states at the Fermi level, the calculation gives 9.157 states/eV/cell.


(19)
A relaxed K2NaPd3 crystal, computed with PBE.

```
K2NaPd3
1.0
9.785 0.000 0.000
0.000 5.659 0.000
-3.260 0.000 4.953
K Na Pd
4 2 6
direct
0.119 0.000 0.356
0.381 0.500 0.644
0.619 0.500 0.356
0.881 0.000 0.644
0.000 0.500 0.500
0.500 0.000 0.500
0.000 0.500 0.000
0.250 0.250 0.000
0.250 0.750 0.000
0.500 0.000 0.000
0.750 0.250 0.000
0.750 0.750 0.000
```

Properties
The uncorrected energy comes out at -3.24 eV/atom. For the density of states at the Fermi level, the calculation gives 3.676 states/eV/cell.


(20)
A relaxed KNaPd3 crystal, computed with PBE.

```
KNaPd3
1.0
4.960 0.000 0.000
0.000 4.960 0.000
0.000 0.000 4.960
K Na Pd
1 1 3
direct
0.000 0.000 0.000
0.500 0.500 0.500
0.000 0.500 0.500
0.500 0.000 0.500
0.500 0.500 0.000
```

Properties
The uncorrected energy comes out at -2.96 eV/atom. The relative energy among the computed polymorphs is 0.606 eV/atom. For the density of states at the Fermi level, the calculation gives 1.095 states/eV/cell.


(21)
A relaxed K4Na2Pd crystal, computed with PBE.

```
K4Na2Pd
1.0
6.270 0.000 0.000
0.000 6.270 0.000
0.000 0.000 19.660
K Na Pd
8 4 2
direct
0.000 0.000 0.164
0.000 0.000 0.836
0.000 0.500 0.000
0.000 0.500 0.500
0.500 0.000 0.000
0.500 0.000 0.500
0.500 0.500 0.336
0.500 0.500 0.664
0.000 0.000 0.363
0.000 0.000 0.637
0.500 0.500 0.137
0.500 0.500 0.863
0.000 0.000 0.000
0.500 0.500 0.500
```

Properties
The uncorrected energy comes out at -1.65 eV/atom. For the density of states at the Fermi level, the calculation gives 5.295 states/eV/cell.


(22)
A relaxed KNaPd3 crystal, computed with PBE.

```
KNaPd3
1.0
2.835 1.637 8.012
-2.835 1.637 8.012
0.000 -3.274 8.012
K Na Pd
2 2 6
direct
0.165 0.165 0.165
0.835 0.835 0.835
0.397 0.397 0.397
0.603 0.603 0.603
0.124 0.124 0.615
0.124 0.615 0.124
0.385 0.876 0.876
0.615 0.124 0.124
0.876 0.385 0.876
0.876 0.876 0.385
```

Properties
The uncorrected energy comes out at -3.56 eV/atom. The relative energy among the computed polymorphs is 0.000 eV/atom. For the density of states at the Fermi level, the calculation gives 8.748 states/eV/cell.


(23)
A relaxed K5Na12Pd2 crystal, computed with PBE.

```
K5Na12Pd2
1.0
10.791 -3.830 0.000
10.791 3.830 0.000
-2.085 0.000 9.483
K Na Pd
5 12 2
direct
0.000 0.000 0.000
0.236 0.236 0.656
0.351 0.351 0.334
0.649 0.649 0.666
0.764 0.764 0.344
0.053 0.053 0.650
0.069 0.598 0.976
0.127 0.675 0.650
0.325 0.873 0.350
0.402 0.931 0.024
0.486 0.486 0.204
0.514 0.514 0.796
0.598 0.069 0.976
0.675 0.127 0.650
0.873 0.325 0.350
0.931 0.402 0.024
0.947 0.947 0.350
0.327 0.673 0.500
0.673 0.327 0.500
```

Properties
The uncorrected energy comes out at -1.64 eV/atom. For the density of states at the Fermi level, the calculation gives 9.804 states/eV/cell.


(24)
A relaxed K3Na8Pd2 crystal, computed with PBE.

```
K3Na8Pd2
1.0
7.539 0.000 0.000
0.000 4.709 0.000
-1.526 0.000 15.075
K Na Pd
3 8 2
direct
0.000 0.000 0.000
0.470 0.500 0.850
0.530 0.500 0.150
0.011 0.000 0.739
0.137 0.500 0.580
0.272 0.500 0.367
0.438 0.000 0.596
0.562 0.000 0.404
0.728 0.500 0.633
0.863 0.500 0.420
0.989 0.000 0.261
0.136 0.000 0.450
0.864 0.000 0.550
```

Properties
The uncorrected energy comes out at -1.86 eV/atom. For the density of states at the Fermi level, the calculation gives 6.166 states/eV/cell.